# 1
# BaZr3Al PBE relaxed
# Energy above the lowest structure with this stoichiometry: 0.0 kJ per mole of atoms
# Space-group type: Pm-3m (221)
# Calculated density: 4937 kg/m3
# Total energy: -5.6140 eV/atom
data_BaZr3Al
_cell_length_a 5.281
_cell_length_b 5.281
_cell_length_c 5.281
_cell_angle_alpha 90.00
_cell_angle_beta 90.00
_cell_angle_gamma 90.00
_symmetry_space_group_name_H-M 'P 1'
_symmetry_Int_Tables_number 1
_symmetry_space_group_name_Hall 'P 1'
loop_
_atom_site_label
_atom_site_type_symbol
_atom_site_fract_x
_atom_site_fract_y
_atom_site_fract_z
Ba1 Ba 0.000 0.000 0.000
Zr1 Zr 0.000 0.500 0.500
Zr2 Zr 0.500 0.000 0.500
Zr3 Zr 0.500 0.500 0.000
Al1 Al 0.500 0.500 0.500

=====

# 2
# BaZr4Al PBE relaxed
# Space-group type: F-43m (216)
# Calculated density: 5654 kg/m3
# Total energy: -6.1617 eV/atom
data_BaZr4Al
_cell_length_a 6.035
_cell_length_b 6.035
_cell_length_c 6.035
_cell_angle_alpha 60.00
_cell_angle_beta 60.00
_cell_angle_gamma 60.00
_symmetry_space_group_name_H-M 'P 1'
_symmetry_Int_Tables_number 1
_symmetry_space_group_name_Hall 'P 1'
loop_
_atom_site_label
_atom_site_type_symbol
_atom_site_fract_x
_atom_site_fract_y
_atom_site_fract_z
Ba1 Ba 0.000 0.000 0.000
Zr1 Zr 0.125 0.625 0.625
Zr2 Zr 0.625 0.125 0.625
Zr3 Zr 0.625 0.625 0.125
Zr4 Zr 0.625 0.625 0.625
Al1 Al 0.250 0.250 0.250

=====

# 3
# Ba2ZrAl PBE relaxed
# Space-group type: Pmm2 (25)
# Calculated density: 4385 kg/m3
# Total energy: -3.9104 eV/atom
data_Ba2ZrAl
_cell_length_a 3.874
_cell_length_b 3.933
_cell_length_c 9.765
_cell_angle_alpha 90.00
_cell_angle_beta 90.00
_cell_angle_gamma 90.00
_symmetry_space_group_name_H-M 'P 1'
_symmetry_Int_Tables_number 1
_symmetry_space_group_name_Hall 'P 1'
loop_
_atom_site_label
_atom_site_type_symbol
_atom_site_fract_x
_atom_site_fract_y
_atom_site_fract_z
Ba1 Ba 0.000 0.000 0.000
Ba2 Ba 0.500 0.500 0.390
Zr1 Zr 0.000 0.000 0.657
Al1 Al 0.500 0.500 0.748

=====

# 4
# Ba2ZrAl PBE relaxed
# Space-group type: I-42d (122)
# Calculated density: 4591 kg/m3
# Total energy: -3.3630 eV/atom
data_Ba2ZrAl
_cell_length_a 7.375
_cell_length_b 7.375
_cell_length_c 7.375
_cell_angle_alpha 101.08
_cell_angle_beta 101.08
_cell_angle_gamma 127.99
_symmetry_space_group_name_H-M 'P 1'
_symmetry_Int_Tables_number 1
_symmetry_space_group_name_Hall 'P 1'
loop_
_atom_site_label
_atom_site_type_symbol
_atom_site_fract_x
_atom_site_fract_y
_atom_site_fract_z
Ba1 Ba 0.103 0.625 0.978
Ba2 Ba 0.375 0.353 0.478
Ba3 Ba 0.647 0.125 0.022
Ba4 Ba 0.875 0.897 0.522
Zr1 Zr 0.250 0.750 0.500
Zr2 Zr 0.500 0.500 0.000
Al1 Al 0.000 0.000 0.000
Al2 Al 0.750 0.250 0.500

=====

# 5
# BaZrAl3 PBE relaxed
# Energy above the lowest structure with this stoichiometry: 0.0 kJ per mole of atoms
# Space-group type: Pm-3m (221)
# Calculated density: 3353 kg/m3
# Total energy: -4.1253 eV/atom
data_BaZrAl3
_cell_length_a 5.352
_cell_length_b 5.352
_cell_length_c 5.352
_cell_angle_alpha 90.00
_cell_angle_beta 90.00
_cell_angle_gamma 90.00
_symmetry_space_group_name_H-M 'P 1'
_symmetry_Int_Tables_number 1
_symmetry_space_group_name_Hall 'P 1'
loop_
_atom_site_label
_atom_site_type_symbol
_atom_site_fract_x
_atom_site_fract_y
_atom_site_fract_z
Ba1 Ba 0.000 0.000 0.000
Zr1 Zr 0.500 0.500 0.500
Al1 Al 0.000 0.500 0.500
Al2 Al 0.500 0.000 0.500
Al3 Al 0.500 0.500 0.000

=====

# 6
# Ba2ZrAl PBE relaxed
# Space-group type: Pm (6)
# Calculated density: 4485 kg/m3
# Total energy: -3.7405 eV/atom
data_Ba2ZrAl
_cell_length_a 3.826
_cell_length_b 5.186
_cell_length_c 7.572
_cell_angle_alpha 90.00
_cell_angle_beta 104.51
_cell_angle_gamma 90.00
_symmetry_space_group_name_H-M 'P 1'
_symmetry_Int_Tables_number 1
_symmetry_space_group_name_Hall 'P 1'
loop_
_atom_site_label
_atom_site_type_symbol
_atom_site_fract_x
_atom_site_fract_y
_atom_site_fract_z
Ba1 Ba 0.000 0.000 0.000
Ba2 Ba 0.303 0.500 0.617
Zr1 Zr 0.613 0.500 0.214
Al1 Al 0.689 0.000 0.392

=====

# 7
# Ba2ZrAl PBE relaxed
# Space-group type: I-4m2 (119)
# Calculated density: 4961 kg/m3
# Total energy: -3.5776 eV/atom
data_Ba2ZrAl
_cell_length_a 5.957
_cell_length_b 5.957
_cell_length_c 5.957
_cell_angle_alpha 126.69
_cell_angle_beta 126.69
_cell_angle_gamma 78.75
_symmetry_space_group_name_H-M 'P 1'
_symmetry_Int_Tables_number 1
_symmetry_space_group_name_Hall 'P 1'
loop_
_atom_site_label
_atom_site_type_symbol
_atom_site_fract_x
_atom_site_fract_y
_atom_site_fract_z
Ba1 Ba 0.000 0.000 0.000
Ba2 Ba 0.750 0.250 0.500
Zr1 Zr 0.250 0.750 0.500
Al1 Al 0.500 0.500 0.000

=====

# 8
# Ba2ZrAl PBE relaxed
# Space-group type: Immm (71)
# Calculated density: 4080 kg/m3
# Total energy: -3.8460 eV/atom
data_Ba2ZrAl
_cell_length_a 10.153
_cell_length_b 10.153
_cell_length_c 10.153
_cell_angle_alpha 157.28
_cell_angle_beta 156.68
_cell_angle_gamma 32.78
_symmetry_space_group_name_H-M 'P 1'
_symmetry_Int_Tables_number 1
_symmetry_space_group_name_Hall 'P 1'
loop_
_atom_site_label
_atom_site_type_symbol
_atom_site_fract_x
_atom_site_fract_y
_atom_site_fract_z
Ba1 Ba 0.153 0.153 0.000
Ba2 Ba 0.847 0.847 0.000
Zr1 Zr 0.500 0.000 0.500
Al1 Al 0.000 0.500 0.500

=====

# 9
# BaZrAl3 PBE relaxed
# Energy above the lowest structure with this stoichiometry: 142.0 kJ per mole of atoms
# Space-group type: Pm-3m (221)
# Calculated density: 3272 kg/m3
# Total energy: -2.6537 eV/atom
data_BaZrAl3
_cell_length_a 5.396
_cell_length_b 5.396
_cell_length_c 5.396
_cell_angle_alpha 90.00
_cell_angle_beta 90.00
_cell_angle_gamma 90.00
_symmetry_space_group_name_H-M 'P 1'
_symmetry_Int_Tables_number 1
_symmetry_space_group_name_Hall 'P 1'
loop_
_atom_site_label
_atom_site_type_symbol
_atom_site_fract_x
_atom_site_fract_y
_atom_site_fract_z
Ba1 Ba 0.000 0.000 0.000
Zr1 Zr 0.500 0.500 0.500
Al1 Al 0.000 0.000 0.500
Al2 Al 0.000 0.500 0.000
Al3 Al 0.500 0.000 0.000

=====

# 10
# Ba2ZrAl PBE relaxed
# Space-group type: P2/m (10)
# Calculated density: 4822 kg/m3
# Total energy: -3.5569 eV/atom
data_Ba2ZrAl
_cell_length_a 3.650
_cell_length_b 5.260
_cell_length_c 7.046
_cell_angle_alpha 90.00
_cell_angle_beta 90.09
_cell_angle_gamma 90.00
_symmetry_space_group_name_H-M 'P 1'
_symmetry_Int_Tables_number 1
_symmetry_space_group_name_Hall 'P 1'
loop_
_atom_site_label
_atom_site_type_symbol
_atom_site_fract_x
_atom_site_fract_y
_atom_site_fract_z
Ba1 Ba 0.000 0.000 0.243
Ba2 Ba 0.000 0.000 0.757
Zr1 Zr 0.500 0.500 0.500
Al1 Al 0.500 0.500 0.000

=====

# 11
# Ba2ZrAl PBE relaxed
# Space-group type: Cmmm (65)
# Calculated density: 4995 kg/m3
# Total energy: -3.5758 eV/atom
data_Ba2ZrAl
_cell_length_a 6.346
_cell_length_b 6.346
_cell_length_c 3.593
_cell_angle_alpha 90.00
_cell_angle_beta 90.00
_cell_angle_gamma 115.50
_symmetry_space_group_name_H-M 'P 1'
_symmetry_Int_Tables_number 1
_symmetry_space_group_name_Hall 'P 1'
loop_
_atom_site_label
_atom_site_type_symbol
_atom_site_fract_x
_atom_site_fract_y
_atom_site_fract_z
Ba1 Ba 0.000 0.500 0.000
Ba2 Ba 0.500 0.000 0.000
Zr1 Zr 0.000 0.000 0.500
Al1 Al 0.500 0.500 0.500

=====

# 12
# Ba2ZrAl PBE relaxed
# Space-group type: P4/mmm (123)
# Calculated density: 4765 kg/m3
# Total energy: -3.5425 eV/atom
data_Ba2ZrAl
_cell_length_a 6.021
_cell_length_b 6.021
_cell_length_c 3.776
_cell_angle_alpha 90.00
_cell_angle_beta 90.00
_cell_angle_gamma 90.00
_symmetry_space_group_name_H-M 'P 1'
_symmetry_Int_Tables_number 1
_symmetry_space_group_name_Hall 'P 1'
loop_
_atom_site_label
_atom_site_type_symbol
_atom_site_fract_x
_atom_site_fract_y
_atom_site_fract_z
Ba1 Ba 0.000 0.500 0.000
Ba2 Ba 0.500 0.000 0.000
Zr1 Zr 0.000 0.000 0.500
Al1 Al 0.500 0.500 0.500